ReAg, relaxed, DFT PBE-GGA; E above lowest polymorph = 2279 meV per atom; mass density = 10.38 Mg/m³; electronic total energy = -4.6890 eV/atom; ΔE_f = 67.67 kcal/mol of atoms
1.0
2.905 0.782 2.714
-0.856 2.164 3.317
-0.080 -1.801 3.629
Ag Re
1 1
direct
0.000 0.000 0.000
0.250 0.250 0.250